No. 1
Here is a relaxed CaIn2P2 crystal from the Alexandria database. Energies are from PBE.

Cell lengths 7.6343, 7.6343, 7.6343 Å; angles 148.56, 148.56, 45.05 degrees
Fractional coordinates of all 5 atoms:
Ca1 0.0000 0.0000 0.0000
In1 0.2500 0.7500 0.5000
In2 0.7500 0.2500 0.5000
P1 0.4231 0.4231 0.0000
P2 0.5769 0.5769 0.0000

Summary:
crystal system: tetragonal
total DFT energy (no corrections): -3.95 eV per atom
space group: I4/mmm, No. 139

***

No. 2
Here is a relaxed Tm2UAgS6 crystal from the Alexandria database. Energies are from PBE.

Cell lengths 6.2505, 6.2505, 6.6504 Å; angles 90.00, 90.00, 90.00 degrees
Fractional coordinates of all 10 atoms:
Tm1 0.0000 0.5000 0.0000
Tm2 0.5000 0.0000 0.0000
U1 0.0000 0.0000 0.6048
Ag1 0.5000 0.5000 0.5216
S1 0.0000 0.0000 0.2063
S2 0.2566 0.2566 0.7720
S3 0.2566 0.7434 0.7720
S4 0.5000 0.5000 0.1631
S5 0.7434 0.2566 0.7720
S6 0.7434 0.7434 0.7720

Summary:
crystal system: tetragonal
formation energy from raw total energies: -1.0541 eV per atom
space group: P4mm, No. 99

***

No. 3
Here is a relaxed Fe2NiSb crystal from the Alexandria database. Energies are from PBE.

Cell lengths 8.0173, 8.0173, 8.0173 Å; angles 21.31, 21.31, 21.31 degrees
Fractional coordinates of all 4 atoms:
Fe1 0.2428 0.2428 0.2428
Fe2 0.7572 0.7572 0.7572
Ni1 0.5000 0.5000 0.5000
Sb1 0.0000 0.0000 0.0000

Summary:
crystal system: trigonal
formation energy from raw total energies: 0.5000 eV per atom
space group: R-3m, No. 166

***

No. 4
Here is a relaxed Nd12Os3O5 crystal from the Alexandria database. Energies are from PBE.

Cell lengths 13.6021, 13.6021, 13.6021 Å; angles 109.47, 109.47, 109.47 degrees
Fractional coordinates of all 80 atoms:
Nd1 0.0258 0.2086 0.1209
Nd2 0.0258 0.3172 0.9050
Nd3 0.0877 0.7086 0.6828
Nd4 0.0877 0.8791 0.4050
Nd5 0.0950 0.6209 0.4123
Nd6 0.0950 0.9742 0.6828
Nd7 0.1209 0.0258 0.2086
Nd8 0.1209 0.5950 0.9123
Nd9 0.1828 0.2086 0.5877
Nd10 0.1828 0.4742 0.5950
Nd11 0.2086 0.1209 0.0258
Nd12 0.2086 0.5877 0.1828
Nd13 0.2914 0.3172 0.9123
Nd14 0.2914 0.4742 0.3791
Nd15 0.3172 0.9050 0.0258
Nd16 0.3172 0.9123 0.2914
Nd17 0.3791 0.2914 0.4742
Nd18 0.3791 0.5877 0.9050
Nd19 0.4050 0.0877 0.8791
Nd20 0.4050 0.8172 0.5258
Nd21 0.4123 0.0950 0.6209
Nd22 0.4123 0.8172 0.7914
Nd23 0.4742 0.3791 0.2914
Nd24 0.4742 0.5950 0.1828
Nd25 0.5258 0.4050 0.8172
Nd26 0.5258 0.6209 0.7086
Nd27 0.5877 0.1828 0.2086
Nd28 0.5877 0.9050 0.3791
Nd29 0.5950 0.1828 0.4742
Nd30 0.5950 0.9123 0.1209
Nd31 0.6209 0.4123 0.0950
Nd32 0.6209 0.7086 0.5258
Nd33 0.6828 0.0877 0.7086
Nd34 0.6828 0.0950 0.9742
Nd35 0.7086 0.5258 0.6209
Nd36 0.7086 0.6828 0.0877
Nd37 0.7914 0.4123 0.8172
Nd38 0.7914 0.8791 0.9742
Nd39 0.8172 0.5258 0.4050
Nd40 0.8172 0.7914 0.4123
Nd41 0.8791 0.4050 0.0877
Nd42 0.8791 0.9742 0.7914
Nd43 0.9050 0.0258 0.3172
Nd44 0.9050 0.3791 0.5877
Nd45 0.9123 0.1209 0.5950
Nd46 0.9123 0.2914 0.3172
Nd47 0.9742 0.6828 0.0950
Nd48 0.9742 0.7914 0.8791
Os1 0.1250 0.2500 0.3750
Os2 0.1250 0.3750 0.7500
Os3 0.2500 0.3750 0.1250
Os4 0.2500 0.8750 0.6250
Os5 0.3750 0.1250 0.2500
Os6 0.3750 0.7500 0.1250
Os7 0.6250 0.2500 0.8750
Os8 0.6250 0.8750 0.7500
Os9 0.7500 0.1250 0.3750
Os10 0.7500 0.6250 0.8750
Os11 0.8750 0.6250 0.2500
Os12 0.8750 0.7500 0.6250
O1 0.0000 0.0000 0.0000
O2 0.0000 0.0000 0.5000
O3 0.0000 0.5000 0.0000
O4 0.0000 0.5000 0.5000
O5 0.1250 0.7500 0.8750
O6 0.1250 0.8750 0.2500
O7 0.2500 0.1250 0.8750
O8 0.2500 0.6250 0.3750
O9 0.3750 0.2500 0.6250
O10 0.3750 0.6250 0.7500
O11 0.5000 0.0000 0.0000
O12 0.5000 0.0000 0.5000
O13 0.5000 0.5000 0.0000
O14 0.5000 0.5000 0.5000
O15 0.6250 0.3750 0.2500
O16 0.6250 0.7500 0.3750
O17 0.7500 0.3750 0.6250
O18 0.7500 0.8750 0.1250
O19 0.8750 0.1250 0.7500
O20 0.8750 0.2500 0.1250

Summary:
crystal system: cubic
formation energy from raw total energies: -1.3385 eV per atom
space group: Ia-3d, No. 230

***

No. 5
Here is a relaxed Pa2ZnRhN5 crystal from the Alexandria database. Energies are from PBE.

Cell lengths 7.4458, 7.4458, 8.9200 Å; angles 90.00, 90.00, 153.61 degrees
Fractional coordinates of all 18 atoms:
Pa1 0.1239 0.8761 0.5000
Pa2 0.1336 0.8664 0.0463
Pa3 0.8664 0.1336 0.5463
Pa4 0.8761 0.1239 0.0000
Zn1 0.4794 0.5206 0.2702
Zn2 0.5206 0.4794 0.7702
Rh1 0.2317 0.7683 0.7683
Rh2 0.7683 0.2317 0.2683
N1 0.0897 0.9103 0.7815
N2 0.2762 0.7238 0.4142
N3 0.2849 0.7151 0.1208
N4 0.3786 0.6214 0.7237
N5 0.4803 0.5197 0.0122
N6 0.5197 0.4803 0.5122
N7 0.6214 0.3786 0.2237
N8 0.7151 0.2849 0.6208
N9 0.7238 0.2762 0.9142
N10 0.9103 0.0897 0.2815

Summary:
crystal system: orthorhombic
formation energy from raw total energies: -0.7628 eV per atom
space group: Cmc2_1, No. 36

***

No. 6
Here is a relaxed ZrSnNF2 crystal from the Alexandria database. Energies are from PBE.

Cell lengths 4.3378, 4.3378, 4.2786 Å; angles 90.00, 90.00, 90.00 degrees
Fractional coordinates of all 5 atoms:
Zr1 0.0000 0.0000 0.0000
Sn1 0.5000 0.5000 0.5000
N1 0.0000 0.0000 0.5000
F1 0.0000 0.5000 0.0000
F2 0.5000 0.0000 0.0000

Summary:
crystal system: tetragonal
formation energy from raw total energies: -1.5772 eV per atom
space group: P4/mmm, No. 123
relative energy among the computed polymorphs: 0 meV per atom

***

No. 7
Here is a relaxed Na2VS crystal from the Alexandria database. Energies are from PBE.

Cell lengths 7.5634, 7.5634, 7.5634 Å; angles 95.20, 95.20, 144.97 degrees
Fractional coordinates of all 8 atoms:
Na1 0.3750 0.0200 0.1450
Na2 0.7700 0.6250 0.6450
Na3 0.8750 0.2300 0.8550
Na4 0.9800 0.1250 0.3550
V1 0.2500 0.7500 0.5000
V2 0.5000 0.5000 0.0000
S1 0.0000 0.0000 0.0000
S2 0.7500 0.2500 0.5000

Summary:
crystal system: tetragonal
formation energy from raw total energies: -0.0832 eV per atom
space group: I-42d, No. 122